(1)
The following is a DFT calculation (PBE) of an optimized crystal structure of Ce4TmTh3S8.

extended XYZ file:
```
16
Lattice="8.037 0.000 0.000 0.000 8.006 -0.027 -4.018 -4.014 5.685" Properties=species:S:1:pos:R:3 pbc="T T T"
Tm 0.000 4.003 -0.013
S 2.070 -1.966 5.668
S 6.089 5.958 -0.009
S 4.018 4.014 2.835
S 1.948 5.958 -0.009
S 0.000 -0.023 2.824
S 4.018 -0.020 2.912
S 0.000 4.012 2.747
S -2.070 -1.966 5.668
Th 4.018 4.003 -0.013
Th 2.009 1.996 2.829
Th -2.009 1.996 2.829
Ce 2.009 -2.007 2.843
Ce 0.000 0.000 0.000
Ce 4.018 0.000 0.000
Ce -2.009 -2.007 2.843
```

Properties
- space-group type = R-3m
- calculated volume (A^3/atom) = 22.809
- DOS at the Fermi energy (states/eV/cell) = 22.81
- formation energy (no corrections) (meV per atom) = -1957

(2)
The following is a DFT calculation (PBE) of an optimized crystal structure of MgZn2Co.

extended XYZ file:
```
4
Lattice="-1.124 3.493 3.399 -1.161 0.658 4.820 3.209 1.171 2.419" Properties=species:S:1:pos:R:3 pbc="T T T"
Zn -2.236 4.121 8.163
Zn 0.307 1.293 2.587
Co 0.396 2.692 5.381
Mg 0.633 4.025 8.045
```

Properties
- space-group type = Cm
- calculated volume (A^3/atom) = 14.148
- DOS at the Fermi energy (states/eV/cell) = 1.80
- ΔE_f (eV/atom) = -0.001

(3)
The following is a DFT calculation (PBE) of an optimized crystal structure of TaTlOs.

extended XYZ file:
```
3
Lattice="-2.274 0.281 2.039 0.684 -2.754 -1.164 4.530 -1.071 5.199" Properties=species:S:1:pos:R:3 pbc="T T T"
Ta 0.083 -1.054 2.544
Os 0.115 -0.027 0.132
Tl 2.742 -2.462 3.398
```

Properties
- space-group type = P3m1
- calculated volume (A^3/atom) = 18.946
- energy relative to the lowest polymorph listed for this composition (meV/atom) = 177
- DOS at the Fermi energy (states/eV/cell) = 3.35
- ΔE_f (eV/atom) = 0.500